[1]
Tm4In2Ag: relaxed, GGA-PBE.

```
Tm4In2Ag
1.0
-4.703 -5.003 -1.023
3.964 -4.341 3.007
-0.849 4.728 7.945
Tm In Ag
8 4 2
Cartesian
-0.829 -3.839 2.683
2.077 0.593 8.992
-3.666 -5.208 0.938
-2.746 -1.739 1.228
-3.993 -3.316 4.100
1.158 -2.877 8.702
-0.760 -0.777 7.247
2.404 -1.300 5.830
-0.756 -6.851 1.981
-0.832 2.236 7.949
-1.264 -0.866 4.041
-0.324 -3.750 5.889
1.759 -3.280 3.822
-3.347 -1.336 6.108
```

Space-group type: P2_1/m (11)
Energy of formation from the pure elements, eV/atom: -0.20

***

[2]
Tm2In9Ag: relaxed, GGA-PBE.

```
Tm2In9Ag
1.0
-0.712 -3.328 -3.112
2.289 -2.985 2.669
-11.757 -3.380 6.304
Tm In Ag
2 9 1
Cartesian
-3.897 -1.120 2.089
-7.861 -2.260 4.215
0.788 -3.157 -0.222
-3.146 -4.287 1.887
-7.035 -5.405 3.973
-2.237 -2.205 -0.548
-6.235 -3.354 1.596
-10.233 -4.503 3.739
-0.737 -2.033 2.343
-4.734 -3.182 4.486
-8.732 -4.332 6.630
0.000 0.000 0.000
```

Space-group type: P4/mmm (123)
Energy of formation from the pure elements, eV/atom: -0.20

***

[3]
Tm4InAg2: relaxed, GGA-PBE.

```
Tm4InAg2
1.0
-1.437 1.658 -4.592
-0.002 -3.185 -3.969
-8.140 -2.565 -1.200
Tm Ag In
4 2 1
Cartesian
-4.446 -2.335 -7.912
-5.132 -1.758 -1.849
-2.153 -1.339 -5.450
-7.425 -2.754 -4.311
-7.290 -3.098 -7.298
-2.288 -0.995 -2.463
0.000 0.000 0.000
```

Space-group type: R-3m (166)
Energy of formation from the pure elements, eV/atom: -0.21

***

[4]
Tm4InAg2: relaxed, GGA-PBE.

```
Tm4InAg2
1.0
-4.037 2.760 0.508
-3.511 -0.123 -3.440
-6.750 -6.154 3.595
Tm In Ag
4 1 2
Cartesian
-8.677 -4.296 1.981
-4.150 -1.835 0.787
-10.148 -1.682 -0.125
-5.621 0.780 -1.319
0.000 0.000 0.000
-5.478 -4.040 2.221
-8.820 0.524 -1.558
```

Space-group type: R-3m (166)
Energy of formation from the pure elements, eV/atom: -0.06

***

[5]
Tm3In3Ag: relaxed, GGA-PBE.

```
Tm3In3Ag
1.0
-1.153 4.062 -1.855
-0.410 -0.238 -5.998
-14.164 -1.697 -0.648
Tm In Ag
6 6 2
Cartesian
-9.496 1.043 -3.281
-6.231 1.084 -5.220
-3.595 0.671 -2.030
-12.132 1.456 -6.471
-13.641 -0.006 -3.002
-2.086 2.133 -5.500
-9.022 2.413 -6.309
-6.705 -0.286 -2.192
-13.586 -1.279 -5.823
-2.141 3.406 -2.678
-4.735 3.434 -6.736
-10.991 -1.308 -1.766
-6.339 2.418 -2.233
-9.388 -0.291 -6.268
```

Space-group type: C2/m (12)
Energy of formation from the pure elements, eV/atom: -0.36

***

[6]
Tm4In2Ag: relaxed, GGA-PBE.

```
Tm4In2Ag
1.0
4.918 0.000 1.537
2.219 4.389 1.537
-0.083 -0.051 8.904
Tm Ag In
4 1 2
Cartesian
6.207 3.817 6.051
0.848 0.521 5.926
4.439 2.730 3.072
2.616 1.609 8.905
0.000 0.000 0.000
5.300 3.260 8.954
1.755 1.079 3.023
```

Space-group type: R-3m (166)
Energy of formation from the pure elements, eV/atom: -0.26

***

[7]
TmInAg3: relaxed, GGA-PBE.

```
TmInAg3
1.0
4.909 0.000 1.002
0.000 6.431 0.000
1.142 0.000 6.936
Tm In Ag
2 2 6
Cartesian
3.327 4.824 2.514
2.724 1.608 5.424
2.661 4.824 5.732
3.390 1.608 2.206
1.053 6.383 1.125
4.999 0.049 6.813
1.053 3.264 1.125
4.999 3.167 6.813
5.465 4.824 4.564
0.586 1.608 3.375
```

Space-group type: P2_1/m (11)
Energy of formation from the pure elements, eV/atom: -0.19

***

[8]
TmInAg: relaxed, GGA-PBE.

```
TmInAg
1.0
3.117 0.000 0.000
0.000 3.117 0.000
-1.559 -1.559 8.236
Tm Ag In
1 1 1
Cartesian
1.559 1.559 7.496
0.000 0.000 2.175
1.559 1.559 4.330
```

Space-group type: I4mm (107)
Energy of formation from the pure elements, eV/atom: 0.34

***

[9]
Tm2In2Ag: relaxed, GGA-PBE.

```
Tm2In2Ag
1.0
-0.983 2.438 -2.189
-4.475 -1.283 0.582
1.587 5.497 5.411
Tm In Ag
2 2 1
Cartesian
-2.490 1.244 2.505
-2.787 3.457 5.103
-0.888 4.181 2.384
-2.743 0.677 -0.687
-0.636 2.294 0.168
```

Space-group type: Amm2 (38)
Energy of formation from the pure elements, eV/atom: -0.38

***

[10]
Tm6In3Ag: relaxed, GGA-PBE.

```
Tm6In3Ag
1.0
-1.587 -4.976 -0.548
3.563 -2.035 8.153
-10.949 3.331 1.460
Tm In Ag
12 6 2
Cartesian
0.331 -1.902 3.733
-9.304 -1.777 5.332
-1.737 -0.968 1.238
-7.236 -2.712 7.826
-5.344 -0.377 6.312
-3.629 -3.303 2.753
-4.968 -0.079 2.523
-4.005 -3.600 6.541
-0.768 -1.935 7.209
-8.205 -1.744 1.856
-9.577 1.458 1.915
0.604 -5.137 7.150
-2.668 -1.052 4.695
-6.306 -2.627 4.370
-7.606 0.586 4.121
-1.367 -4.266 4.944
-8.263 0.409 7.627
-0.710 -4.089 1.438
-3.558 -1.194 8.559
-5.415 -2.485 0.506
```

Space-group type: P2_1/m (11)
Energy of formation from the pure elements, eV/atom: -0.31

***

[11]
Tm5In2Ag2: relaxed, GGA-PBE.

```
Tm5In2Ag2
1.0
-5.213 -4.935 -0.493
3.656 -4.500 6.379
-6.025 6.167 1.979
Tm In Ag
10 4 4
Cartesian
0.000 0.000 0.000
-0.778 -4.717 2.943
-2.982 -6.207 5.322
-0.784 -1.165 3.285
0.093 -4.316 6.384
-3.859 -3.057 2.222
-4.600 2.940 2.543
-6.798 -2.102 4.580
-7.675 1.048 1.481
-3.723 -0.210 5.643
-1.769 1.651 2.178
-2.547 -3.066 5.121
-0.601 0.017 6.180
-5.035 -0.201 2.744
-0.074 -7.024 5.263
-1.482 -2.411 0.623
1.629 -3.445 3.934
-3.186 -5.989 1.952
```

Space-group type: Cmce (64)
Energy of formation from the pure elements, eV/atom: -0.26

***

[12]
Tm4In3Ag: relaxed, GGA-PBE.

```
Tm4In3Ag
1.0
-1.591 -0.873 3.017
-1.290 -2.901 -1.520
13.128 -8.220 4.546
Tm Ag In
4 1 3
Cartesian
11.647 -7.293 4.033
1.482 -0.928 0.513
4.860 -3.043 1.683
8.268 -5.177 2.863
-1.441 -1.887 0.748
1.719 -3.866 1.842
5.123 -5.997 3.021
8.528 -8.129 4.200
```

Space-group type: P4/mmm (123)
Energy of formation from the pure elements, eV/atom: -0.41

***

[13]
Tm8In5Ag: relaxed, GGA-PBE.

```
Tm8In5Ag
1.0
7.936 0.005 -0.008
-2.681 7.470 0.008
-2.574 -3.775 6.489
Tm In Ag
8 5 1
Cartesian
-1.011 5.502 0.137
5.606 -1.907 4.706
4.528 0.452 2.392
1.663 -0.288 5.692
1.574 3.596 1.470
0.264 3.364 5.638
0.502 0.440 2.496
-2.404 3.639 3.425
-1.325 2.318 0.825
3.950 5.597 1.607
2.681 2.313 4.063
2.681 -1.885 3.240
0.055 -2.829 6.483
-1.287 0.905 4.869
```

Space-group type: I-4 (82)
Energy of formation from the pure elements, eV/atom: -0.25

***

[14]
Tm3In2Ag: relaxed, GGA-PBE.

```
Tm3In2Ag
1.0
-2.836 1.060 1.808
-1.218 -3.310 0.029
5.791 -2.041 10.279
Tm In Ag
3 2 1
Cartesian
0.000 0.000 0.000
3.777 -1.331 6.704
2.014 -0.710 3.576
2.753 -2.810 9.404
-1.016 -1.481 2.713
0.868 -2.146 6.058
```

Space-group type: P4/mmm (123)
Energy of formation from the pure elements, eV/atom: -0.41

***

[15]
Tm2In2Ag: relaxed, GGA-PBE.

```
Tm2In2Ag
1.0
4.761 0.000 0.000
2.380 5.475 -0.643
2.380 -0.329 9.603
Tm In Ag
4 4 2
Cartesian
4.761 1.406 3.141
7.141 1.051 8.599
4.761 3.740 5.820
2.380 4.094 0.362
2.380 1.538 5.478
7.141 4.097 7.850
7.141 3.608 3.482
2.380 1.049 1.110
4.761 0.400 6.294
4.761 4.746 2.667
```

Space-group type: C2/m (12)
Energy of formation from the pure elements, eV/atom: -0.36

***

[16]
YTm2In2Ag2: relaxed, GGA-PBE.

```
YTm2In2Ag2
1.0
4.826 0.000 0.000
2.413 4.180 0.000
2.413 1.393 8.818
Y Tm In Ag
1 2 2 2
Cartesian
0.000 0.000 0.000
2.413 1.393 5.457
7.239 4.180 3.360
7.239 4.180 6.833
2.413 1.393 1.985
4.826 2.786 1.773
4.826 2.786 7.045
```

Space-group type: R-3m (166)
Energy of formation from the pure elements, eV/atom: -0.27

***

[17]
TmZrInAg: relaxed, GGA-PBE.

```
TmZrInAg
1.0
5.062 0.000 0.000
2.531 4.384 0.000
2.531 1.461 4.133
Tm Zr Ag In
1 1 1 1
Cartesian
0.000 0.000 0.000
5.062 2.923 2.067
2.531 1.461 1.033
7.593 4.384 3.100
```

Space-group type: F-43m (216)
Energy of formation from the pure elements, eV/atom: -0.22

***

[18]
UIn2Ag: relaxed, GGA-PBE.

```
UIn2Ag
1.0
-1.050 -1.819 2.301
-1.536 -2.627 -0.668
8.153 -6.742 0.501
U In Ag
1 2 1
Cartesian
2.772 -5.588 1.067
6.063 -5.523 0.511
1.226 -2.700 0.534
-1.712 -2.971 1.089
```

Space-group type: R3m (160)
Energy of formation from the pure elements, eV/atom: 0.08

***

[19]
UIn2Ag: relaxed, GGA-PBE.

```
UIn2Ag
1.0
4.574 0.000 0.000
0.000 4.589 0.000
0.000 0.000 4.589
U Ag In
1 1 2
Cartesian
2.287 0.000 0.000
2.287 2.295 2.295
0.000 0.000 2.295
0.000 2.295 0.000
```

Space-group type: P4/mmm (123)
Energy of formation from the pure elements, eV/atom: 0.18

***

[20]
UIn2Ag: relaxed, GGA-PBE.

```
UIn2Ag
1.0
3.110 0.000 0.000
1.555 2.694 0.000
1.555 0.898 10.511
U Ag In
1 1 2
Cartesian
3.110 1.796 5.256
0.000 0.000 0.000
4.665 2.694 8.069
1.555 0.898 2.442
```

Space-group type: R-3m (166)
Energy of formation from the pure elements, eV/atom: 0.09

***

[21]
UInAg4: relaxed, GGA-PBE.

```
UInAg4
1.0
5.631 0.000 0.000
2.815 4.876 0.000
2.815 1.625 4.597
U Ag In
1 4 1
Cartesian
2.815 1.625 1.149
5.631 3.251 0.572
5.631 1.623 2.874
7.040 4.065 2.874
4.221 4.065 2.874
0.000 0.000 0.000
```

Space-group type: F-43m (216)
Energy of formation from the pure elements, eV/atom: 0.17

***

[22]
UIn2Ag: relaxed, GGA-PBE.

```
UIn2Ag
1.0
-2.005 2.166 -0.623
-0.939 -1.560 -2.405
-6.455 -4.427 5.392
U Ag In
1 1 2
Cartesian
-4.700 -1.910 1.182
-1.472 0.303 -1.514
-4.956 -3.398 4.140
-1.499 -1.028 1.252
```

Space-group type: P4/mmm (123)
Energy of formation from the pure elements, eV/atom: 0.09

***

[23]
UIn5Ag: relaxed, GGA-PBE.

```
UIn5Ag
1.0
4.787 0.000 0.000
0.000 4.787 0.000
0.000 0.000 7.600
U In Ag
1 5 1
Cartesian
0.000 0.000 0.000
2.393 0.000 5.418
0.000 2.393 5.418
2.393 2.393 0.000
0.000 2.393 2.182
2.393 0.000 2.182
0.000 0.000 3.800
```

Space-group type: P4/mmm (123)
Energy of formation from the pure elements, eV/atom: 0.01

***

[24]
UZnInAg: relaxed, GGA-PBE.

```
UZnInAg
1.0
-0.275 -0.611 4.891
3.886 -1.750 2.492
2.547 2.974 3.006
Zn U Ag In
1 1 1 1
Cartesian
3.079 0.307 5.195
1.540 0.153 2.597
0.000 0.000 0.000
4.619 0.460 7.792
```

Space-group type: F-43m (216)
Energy of formation from the pure elements, eV/atom: 0.15